1.
Sr5Br8Cl2 after structural relaxation, computed with PBE-GGA.

The calculation puts the total energy at -58.4 eV/f.u. The density of states at the Fermi level comes out at 0.0000 states/eV per atom. Its crystal system is tetragonal. The formation energy from raw total energies comes out at -2.1941 eV per atom.

It has space group P4/n (No. 85, origin choice 2), with a = 11.589 Å, b = 11.589 Å, c = 7.151 Å, α = 90.00°, β = 90.00° and γ = 90.00°. The asymmetric unit holds Sr at (0.094, 0.892, 0.249), Sr at (0.250, 0.250, 0.146), Br at (0.037, 0.156, 0.376), Br at (0.041, 0.340, 0.900), Cl at (0.250, 0.750, 0.000) and Cl at (0.250, 0.750, 0.500).

2.
SrBr2Cl after structural relaxation, computed with PBE-GGA.

The calculation puts the total energy at -12.6 eV/f.u. The energy above the most stable polymorph in this dataset is 0.105 eV per atom. The density of states at the Fermi level comes out at 0.1494 states/eV per atom. Its crystal system is orthorhombic. The formation energy from raw total energies comes out at -1.4332 eV per atom.

It has space group Imm2 (No. 44), with a = 4.267 Å, b = 5.516 Å, c = 12.949 Å, α = 90.00°, β = 90.00° and γ = 90.00°. The asymmetric unit holds Sr at (0.000, 0.000, 0.000), Br at (0.000, 0.000, 0.442), Br at (0.000, 0.500, 0.325) and Cl at (0.000, 0.500, 0.640).

3.
SrBrCl4 after structural relaxation, computed with PBE-GGA.

The calculation puts the total energy at -14.2 eV/f.u. The density of states at the Fermi level comes out at 1.2826 states/eV per atom. Its crystal system is cubic. The formation energy from raw total energies comes out at -0.5802 eV per atom.

It has space group F-43m (No. 216), with a = 8.445 Å, b = 8.445 Å, c = 8.445 Å, α = 90.00°, β = 90.00° and γ = 90.00°. The asymmetric unit holds Sr at (0.000, 0.000, 0.000), Br at (0.250, 0.250, 0.750) and Cl at (0.126, 0.126, 0.374).

> formation energy from raw total energies of number 2 (SrBr2Cl)?

-1.4332 eV per atom

> Which of these has the highest formation energy from raw total energies?

SrBrCl4

> The highest formation energy from raw total energies belongs to which entry?

SrBrCl4